Record 1
Compound: Mn4Tc
Source: Alexandria via LeMat-Bulk
Functional: PBE
Structure: relaxed Values from VASP.

Output
- calculated formation energy (eV per atom) = 1.104
- E_tot (Ry per atom) = -0.610
- distance to the lowest polymorph of the same formula (eV/atom) = 0.676
- density (g/cm3) = 6.074
- magnetization (μB/cell) = 11.47

Geometry as Quantum ESPRESSO input:
```
&SYSTEM
  ibrav = 0, nat = 5, ntyp = 2
/
ATOMIC_SPECIES
Mn 54.94 Mn.upf
Tc 98.00 Tc.upf
CELL_PARAMETERS angstrom
-2.790 2.790 2.790
2.790 -2.790 2.790
2.790 2.790 -2.790
ATOMIC_POSITIONS angstrom
Mn 1.395 1.395 -1.395
Mn 1.395 -1.395 1.395
Mn -1.395 1.395 1.395
Mn 1.395 1.395 1.395
Tc 0.000 0.000 0.000
```

Record 2
Compound: Nd2PtI2
Source: Alexandria via LeMat-Bulk
Functional: PBE
Structure: relaxed Values from VASP.

Output
- E_tot (Ry per atom) = -0.367
- uncorrected formation energy (eV per atom) = -1.256
- density (g/cm3) = 6.651
- magnetization (μB/cell) = 0.00

Geometry as Quantum ESPRESSO input:
```
&SYSTEM
  ibrav = 0, nat = 5, ntyp = 3
/
ATOMIC_SPECIES
Nd 144.24 Nd.upf
Pt 195.08 Pt.upf
I 126.90 I.upf
CELL_PARAMETERS angstrom
2.120 1.224 11.824
-2.120 1.224 11.824
0.000 -2.448 11.824
ATOMIC_POSITIONS angstrom
Nd 0.000 0.000 4.273
Nd 0.000 0.000 31.198
Pt 0.000 0.000 17.736
I 0.000 0.000 9.747
I 0.000 0.000 25.725
```

Record 3
Compound: Hf6TlCd
Source: Alexandria via LeMat-Bulk
Functional: PBE
Structure: relaxed Values from VASP.

Output
- calculated formation energy (eV per atom) = 0.036
- E_tot (Ry per atom) = -0.576
- density (g/cm3) = 12.942
- magnetization (μB/cell) = 0.00

Geometry as Quantum ESPRESSO input:
```
&SYSTEM
  ibrav = 0, nat = 8, ntyp = 3
/
ATOMIC_SPECIES
Hf 178.49 Hf.upf
Tl 204.38 Tl.upf
Cd 112.41 Cd.upf
CELL_PARAMETERS angstrom
4.350 0.000 0.000
0.000 4.728 4.329
0.000 -4.728 4.329
ATOMIC_POSITIONS angstrom
Hf 0.000 0.000 0.000
Hf 0.000 -2.210 6.444
Hf 0.000 2.210 6.444
Hf 2.175 -2.494 4.300
Hf 2.175 0.000 6.449
Hf 2.175 2.494 4.300
Tl 0.000 0.000 4.187
Cd 2.175 0.000 2.168
```

Record 4
Compound: Tl3AsBr
Source: Alexandria via LeMat-Bulk
Functional: PBE
Structure: relaxed Values from VASP.

Output
- E_tot (Ry per atom) = -0.214
- uncorrected formation energy (eV per atom) = -0.232
- distance to the lowest polymorph of the same formula (eV/atom) = 0.000
- density (g/cm3) = 7.266
- magnetization (μB/cell) = 0.00

Geometry as Quantum ESPRESSO input:
```
&SYSTEM
  ibrav = 0, nat = 10, ntyp = 3
/
ATOMIC_SPECIES
Tl 204.38 Tl.upf
As 74.92 As.upf
Br 79.90 Br.upf
CELL_PARAMETERS angstrom
8.311 0.000 0.000
0.000 4.486 0.000
-1.637 0.000 9.415
ATOMIC_POSITIONS angstrom
Tl -0.127 1.122 1.542
Tl 2.766 1.122 0.194
Tl 2.290 1.122 5.785
Tl 4.384 3.365 3.630
Tl 3.908 3.365 9.222
Tl 6.801 3.365 7.873
As 1.431 3.365 7.722
As 5.243 1.122 1.693
Br 0.889 3.365 3.365
Br 5.784 1.122 6.050
```